A relaxed Sm6YSe8 crystal. Source: Alexandria, functional GGA-PBE.

Formation energy (no corrections) = -1.870 eV/atom
D(E_F) = 27.2 states/eV/cell
DFT total energy = -362.82 eV for the cell shown

Structure (CIF):
```
data_Sm6YSe8
_cell_length_a 11.754
_cell_length_b 11.754
_cell_length_c 11.754
_cell_angle_alpha 90.00
_cell_angle_beta 90.00
_cell_angle_gamma 90.00
_symmetry_space_group_name_H-M 'F m -3 m'
_symmetry_Int_Tables_number 225
_symmetry_space_group_name_Hall '-F 4 2 3'
loop_
_atom_site_label
_atom_site_type_symbol
_atom_site_fract_x
_atom_site_fract_y
_atom_site_fract_z
Sm1 Sm 0.000 0.250 0.250
Y1 Y 0.000 0.000 0.000
Se1 Se 0.000 0.000 0.249
Se2 Se 0.250 0.250 0.250
```

***

A relaxed Sm2Y2Se3 crystal. Source: Alexandria, functional GGA-PBE.

Formation energy (no corrections) = -1.515 eV/atom
D(E_F) = 7.6 states/eV/cell
DFT total energy = -86.85 eV for the cell shown

Structure (CIF):
```
data_Sm2Y2Se3
_cell_length_a 13.558
_cell_length_b 4.064
_cell_length_c 7.012
_cell_angle_alpha 90.00
_cell_angle_beta 101.42
_cell_angle_gamma 90.00
_symmetry_space_group_name_H-M 'C 1 2/m 1'
_symmetry_Int_Tables_number 12
_symmetry_space_group_name_Hall '-C 2y'
loop_
_atom_site_label
_atom_site_type_symbol
_atom_site_fract_x
_atom_site_fract_y
_atom_site_fract_z
Sm1 Sm 0.123 0.000 0.359
Y1 Y 0.122 0.500 0.879
Se1 Se 0.000 0.500 0.500
Se2 Se 0.243 0.000 0.752
```

***

A relaxed Sm2Y3Se8 crystal. Source: Alexandria, functional GGA-PBE.

Formation energy (no corrections) = -1.729 eV/atom
D(E_F) = 13.2 states/eV/cell
DFT total energy = -158.37 eV for the cell shown

Structure (CIF):
```
data_Sm2Y3Se8
_cell_length_a 14.414
_cell_length_b 8.285
_cell_length_c 7.040
_cell_angle_alpha 90.00
_cell_angle_beta 109.47
_cell_angle_gamma 90.00
_symmetry_space_group_name_H-M 'C 1 2/m 1'
_symmetry_Int_Tables_number 12
_symmetry_space_group_name_Hall '-C 2y'
loop_
_atom_site_label
_atom_site_type_symbol
_atom_site_fract_x
_atom_site_fract_y
_atom_site_fract_z
Sm1 Sm 0.241 0.000 0.162
Y1 Y 0.000 0.239 0.500
Y2 Y 0.000 0.500 0.000
Se1 Se 0.117 0.500 0.422
Se2 Se 0.121 0.000 0.418
Se3 Se 0.121 0.262 0.913
```

***

Q: Among the records above, which one has the lowest formation energy (no corrections)?
A: Sm6YSe8

***

Copy entry 2 word for word.
A relaxed Sm2Y2Se3 crystal. Source: Alexandria, functional GGA-PBE.

Formation energy (no corrections) = -1.515 eV/atom
D(E_F) = 7.6 states/eV/cell
DFT total energy = -86.85 eV for the cell shown

Structure (CIF):
```
data_Sm2Y2Se3
_cell_length_a 13.558
_cell_length_b 4.064
_cell_length_c 7.012
_cell_angle_alpha 90.00
_cell_angle_beta 101.42
_cell_angle_gamma 90.00
_symmetry_space_group_name_H-M 'C 1 2/m 1'
_symmetry_Int_Tables_number 12
_symmetry_space_group_name_Hall '-C 2y'
loop_
_atom_site_label
_atom_site_type_symbol
_atom_site_fract_x
_atom_site_fract_y
_atom_site_fract_z
Sm1 Sm 0.123 0.000 0.359
Y1 Y 0.122 0.500 0.879
Se1 Se 0.000 0.500 0.500
Se2 Se 0.243 0.000 0.752
```

***

Q: The lowest DFT total energy belongs to which entry?
A: Sm6YSe8

***

Q: Which of these has the highest formation energy (no corrections)?
A: Sm2Y2Se3